(1)
Material: Li2FeH6Au
Method: DFT, PBE-GGA
State: relaxed

The volume is 8.169 A^3/atom. The value obtained for the electronic total energy is -3.56 eV per atom.

The structure belongs to space group Fm-3m (No. 225); the cell edges are 6.888, 6.888 and 6.888 Å and the angles 90.00°, 90.00° and 90.00°. Symmetry generates all atoms from Li at (0.250, 0.250, 0.250), Fe at (0.000, 0.000, 0.000), H at (0.000, 0.000, 0.233) and Au at (0.000, 0.000, 0.500).

(2)
Material: RbAgSnTe3
Method: DFT, PBE-GGA
State: relaxed

The volume is 33.672 A^3/atom. The value obtained for the electronic total energy is -3.22 eV per atom.

The structure belongs to space group Cmcm (No. 63); the cell edges are 4.166, 16.393 and 11.834 Å and the angles 90.00°, 90.00° and 90.00°. Symmetry generates all atoms from Rb at (0.000, 0.246, 0.250), Ag at (0.000, 0.064, 0.750), Sn at (0.000, 0.500, 0.000), Te at (0.000, 0.131, 0.533) and Te at (0.000, 0.446, 0.750).

(3)
Material: CsYZn
Method: DFT, PBE-GGA
State: relaxed

The volume is 35.465 A^3/atom. The calculation puts the relative energy among the computed polymorphs at 0.2689 eV/atom.

The structure belongs to space group F-43m (No. 216); the cell edges are 7.522, 7.522 and 7.522 Å and the angles 90.00°, 90.00° and 90.00°. Symmetry generates all atoms from Cs at (0.000, 0.000, 0.000), Y at (0.250, 0.250, 0.750) and Zn at (0.250, 0.250, 0.250).

(4)
Material: CoReGePt
Method: DFT, PBE-GGA
State: relaxed

The volume is 14.149 A^3/atom. The calculation puts the relative energy among the computed polymorphs at 0.0000 eV/atom.

The structure belongs to space group F-43m (No. 216); the cell edges are 6.095, 6.095 and 6.095 Å and the angles 90.00°, 90.00° and 90.00°. Symmetry generates all atoms from Co at (0.000, 0.000, 0.000), Re at (0.000, 0.000, 0.500), Ge at (0.250, 0.250, 0.750) and Pt at (0.250, 0.250, 0.250).

(5)
Material: KHfCuTeSe2
Method: DFT, PBE-GGA
State: relaxed

The volume is 26.222 A^3/atom. The calculation puts the relative energy among the computed polymorphs at 0.0249 eV/atom.

The structure belongs to space group P2_1/m (No. 11); the cell edges are 8.544, 3.972 and 10.004 Å and the angles 90.00°, 112.05° and 90.00°. Symmetry generates all atoms from K at (0.221, 0.250, 0.199), Hf at (0.188, 0.750, 0.666), Cu at (0.416, 0.250, 0.899), Te at (0.419, 0.250, 0.639), Se at (0.039, 0.750, 0.365) and Se at (0.266, 0.750, 0.946).

(6)
Material: NiB4Au
Method: DFT, PBE-GGA
State: relaxed

The volume is 9.657 A^3/atom. The calculation puts the relative energy among the computed polymorphs at 0.0000 eV/atom.

The structure belongs to space group P6/mmm (No. 191); the cell edges are 2.9850, 2.9850 and 7.5087 Å and the angles 90.00°, 90.00° and 120.00°. Symmetry generates all atoms from Ni at (0.0000, 0.0000, 0.0000), B at (0.3333, 0.6667, 0.1976) and Au at (0.0000, 0.0000, 0.5000).

(7)
Material: HfOsC2
Method: DFT, PBE-GGA
State: relaxed

The volume is 11.266 A^3/atom. The value obtained for the electronic total energy is -9.65 eV per atom.

The structure belongs to space group P4/mmm (No. 123); the cell edges are 3.193, 3.193 and 4.420 Å and the angles 90.00°, 90.00° and 90.00°. Symmetry generates all atoms from Hf at (0.000, 0.000, 0.000), Os at (0.500, 0.500, 0.500), C at (0.000, 0.000, 0.500) and C at (0.500, 0.500, 0.000).

(8)
Material: Ho2NbCoSi2
Method: DFT, PBE-GGA
State: relaxed

The volume is 18.806 A^3/atom. The value obtained for the electronic total energy is -6.78 eV per atom.

The structure belongs to space group P-4m2 (No. 115); the cell edges are 3.929, 3.929 and 7.311 Å and the angles 90.00°, 90.00° and 90.00°. Symmetry generates all atoms from Ho at (0.000, 0.500, 0.155), Nb at (0.500, 0.500, 0.500), Co at (0.000, 0.000, 0.500) and Si at (0.000, 0.500, 0.727).

(9)
Material: NaBPdPb
Method: DFT, PBE-GGA
State: relaxed

The volume is 17.396 A^3/atom. The calculation puts the relative energy among the computed polymorphs at 0.0089 eV/atom.

The structure belongs to space group F-43m (No. 216); the cell edges are 6.529, 6.529 and 6.529 Å and the angles 90.00°, 90.00° and 90.00°. Symmetry generates all atoms from Na at (0.000, 0.000, 0.000), B at (0.250, 0.250, 0.750), Pd at (0.000, 0.000, 0.500) and Pb at (0.250, 0.250, 0.250).

(10)
Material: ZnCoNiSb
Method: DFT, PBE-GGA
State: relaxed

The volume is 14.356 A^3/atom. The calculation puts the relative energy among the computed polymorphs at 0.3067 eV/atom.

The structure belongs to space group F-43m (No. 216); the cell edges are 6.124, 6.124 and 6.124 Å and the angles 90.00°, 90.00° and 90.00°. Symmetry generates all atoms from Zn at (0.000, 0.000, 0.000), Co at (0.250, 0.250, 0.250), Ni at (0.000, 0.000, 0.500) and Sb at (0.250, 0.250, 0.750).

(11)
Material: CsPaSi
Method: DFT, PBE-GGA
State: relaxed

The volume is 30.168 A^3/atom. The calculation puts the relative energy among the computed polymorphs at 0.5184 eV/atom.

The structure belongs to space group F-43m (No. 216); the cell edges are 7.127, 7.127 and 7.127 Å and the angles 90.00°, 90.00° and 90.00°. Symmetry generates all atoms from Cs at (0.000, 0.000, 0.000), Pa at (0.250, 0.250, 0.750) and Si at (0.250, 0.250, 0.250).

(12)
Material: AgS6I
Method: DFT, PBE-GGA
State: relaxed

The volume is 22.658 A^3/atom. The value obtained for the electronic total energy is -2.73 eV per atom.

The structure belongs to space group F-43m (No. 216); the cell edges are 8.984, 8.984 and 8.984 Å and the angles 90.00°, 90.00° and 90.00°. Symmetry generates all atoms from Ag at (0.000, 0.000, 0.000), S at (0.000, 0.000, 0.298) and I at (0.250, 0.250, 0.250).

(13)
Material: BaNdGa
Method: DFT, PBE-GGA
State: relaxed

The volume is 35.062 A^3/atom. The value obtained for the electronic total energy is -2.81 eV per atom.

The structure belongs to space group F-43m (No. 216); the cell edges are 7.493, 7.493 and 7.493 Å and the angles 90.00°, 90.00° and 90.00°. Symmetry generates all atoms from Ba at (0.000, 0.000, 0.000), Nd at (0.250, 0.250, 0.250) and Ga at (0.250, 0.250, 0.750).

(14)
Material: BiSbW
Method: DFT, PBE-GGA
State: relaxed

The volume is 22.153 A^3/atom. The calculation puts the relative energy among the computed polymorphs at 0.0000 eV/atom.

The structure belongs to space group P-62m (No. 189); the cell edges are 7.9641, 7.9641 and 3.6296 Å and the angles 90.00°, 90.00° and 120.00°. Symmetry generates all atoms from Bi at (0.0000, 0.6130, 0.0000), Sb at (0.0000, 0.2734, 0.5000), W at (0.0000, 0.0000, 0.0000) and W at (0.3333, 0.6667, 0.5000).